Run 1
The following is a GGA-PBE calculation of an optimized crystal structure of Ho6AlCd, from Alexandria via LeMat-Bulk.

It has space group P4/mmm (No. 123), with a = 4.7819 Å, b = 4.7819 Å, c = 9.5731 Å, α = 90.00°, β = 90.00° and γ = 90.00°. The asymmetric unit holds Ho at (0.0000, 0.0000, 0.0000), Ho at (0.0000, 0.0000, 0.5000), Ho at (0.0000, 0.5000, 0.2430), Al at (0.5000, 0.5000, 0.0000) and Cd at (0.5000, 0.5000, 0.5000).

Run 2
The following is a GGA-PBE calculation of an optimized crystal structure of Ho6AlCd, from Alexandria via LeMat-Bulk.

It has space group C2/m (No. 12), with a = 8.5505 Å, b = 6.6425 Å, c = 9.0635 Å, α = 90.00°, β = 108.06° and γ = 90.00°. The asymmetric unit holds Ho at (0.1503, 0.0000, 0.4451), Ho at (0.1873, 0.2493, 0.8061), Al at (0.0000, 0.0000, 0.0000) and Cd at (0.0000, 0.5000, 0.5000).

Relative energies, in meV/atom, with the most stable structure set to zero: run 1 0; run 2 260.

Run 1
The following is a GGA-PBE calculation of an optimized crystal structure of Ho4Al2Cd, from Alexandria via LeMat-Bulk.

It has space group P2_1/m (No. 11), with a = 7.1443 Å, b = 6.4548 Å, c = 8.8377 Å, α = 90.00°, β = 113.35° and γ = 90.00°. The asymmetric unit holds Ho at (0.0459, 0.2500, 0.4228), Ho at (0.0573, 0.7500, 0.2280), Ho at (0.4142, 0.0107, 0.7732), Al at (0.2108, 0.7500, 0.9538), Al at (0.4866, 0.7500, 0.5073) and Cd at (0.2047, 0.2500, 0.1367).

Run 2
The following is a GGA-PBE calculation of an optimized crystal structure of Ho4Al2Cd, from Alexandria via LeMat-Bulk.

It has space group R-3m (No. 166, hexagonal axes), with a = 5.1101 Å, b = 5.1101 Å, c = 24.6600 Å, α = 90.00°, β = 90.00° and γ = 120.00°. The asymmetric unit holds Ho at (0.0000, 0.0000, 0.1170), Ho at (0.0000, 0.0000, 0.3699), Al at (0.0000, 0.0000, 0.2472) and Cd at (0.0000, 0.0000, 0.5000).

Relative energies, in meV/atom, with the most stable structure set to zero: run 1 117; run 2 0.

Run 1
The following is a GGA-PBE calculation of an optimized crystal structure of NdHoAlCd, from Alexandria via LeMat-Bulk.

It has space group P4mm (No. 99), with a = 3.6650 Å, b = 3.6650 Å, c = 7.6979 Å, α = 90.00°, β = 90.00° and γ = 90.00°. The asymmetric unit holds Nd at (0.0000, 0.0000, 0.0000), Ho at (0.0000, 0.0000, 0.4758), Al at (0.5000, 0.5000, 0.2499) and Cd at (0.5000, 0.5000, 0.7189).

Run 2
The following is a GGA-PBE calculation of an optimized crystal structure of NdHoAlCd, from Alexandria via LeMat-Bulk.

It has space group F-43m (No. 216), with a = 7.4649 Å, b = 7.4649 Å, c = 7.4649 Å, α = 90.00°, β = 90.00° and γ = 90.00°. The asymmetric unit holds Nd at (0.0000, 0.0000, 0.0000), Ho at (0.0000, 0.0000, 0.5000), Al at (0.2500, 0.2500, 0.2500) and Cd at (0.2500, 0.2500, 0.7500).

Relative energies, in meV/atom, with the most stable structure set to zero: run 1 0; run 2 17.

Run 1
The following is a GGA-PBE calculation of an optimized crystal structure of PrHoAlCd, from Alexandria via LeMat-Bulk.

It has space group F-43m (No. 216), with a = 7.4940 Å, b = 7.4940 Å, c = 7.4940 Å, α = 90.00°, β = 90.00° and γ = 90.00°. The asymmetric unit holds Pr at (0.0000, 0.0000, 0.0000), Ho at (0.0000, 0.0000, 0.5000), Al at (0.2500, 0.2500, 0.7500) and Cd at (0.2500, 0.2500, 0.2500).

Run 2
The following is a GGA-PBE calculation of an optimized crystal structure of PrHoAlCd, from Alexandria via LeMat-Bulk.

It has space group P4mm (No. 99), with a = 3.6699 Å, b = 3.6699 Å, c = 7.7618 Å, α = 90.00°, β = 90.00° and γ = 90.00°. The asymmetric unit holds Pr at (0.0000, 0.0000, 0.0000), Ho at (0.0000, 0.0000, 0.4751), Al at (0.5000, 0.5000, 0.2517) and Cd at (0.5000, 0.5000, 0.7154).

Relative energies, in meV/atom, with the most stable structure set to zero: run 1 20; run 2 0.

Run 1
The following is a GGA-PBE calculation of an optimized crystal structure of AlCdI3, from Alexandria via LeMat-Bulk.

It has space group Pm-3m (No. 221), with a = 5.6231 Å, b = 5.6231 Å, c = 5.6231 Å, α = 90.00°, β = 90.00° and γ = 90.00°. The asymmetric unit holds Al at (0.0000, 0.0000, 0.0000), Cd at (0.5000, 0.5000, 0.5000) and I at (0.0000, 0.0000, 0.5000).

Run 2
The following is a GGA-PBE calculation of an optimized crystal structure of AlCdI3, from Alexandria via LeMat-Bulk.

It has space group Pm-3m (No. 221), with a = 5.9030 Å, b = 5.9030 Å, c = 5.9030 Å, α = 90.00°, β = 90.00° and γ = 90.00°. The asymmetric unit holds Al at (0.0000, 0.0000, 0.0000), Cd at (0.5000, 0.5000, 0.5000) and I at (0.0000, 0.5000, 0.5000).

Relative energies, in meV/atom, with the most stable structure set to zero: run 1 0; run 2 95.

Run 1
The following is a GGA-PBE calculation of an optimized crystal structure of AlCdIN2, from Alexandria via LeMat-Bulk.

It has space group P4/mmm (No. 123), with a = 3.9014 Å, b = 3.9014 Å, c = 6.3894 Å, α = 90.00°, β = 90.00° and γ = 90.00°. The asymmetric unit holds Al at (0.0000, 0.0000, 0.0000), Cd at (0.5000, 0.5000, 0.5000), I at (0.0000, 0.0000, 0.5000) and N at (0.0000, 0.5000, 0.0000).

Run 2
The following is a GGA-PBE calculation of an optimized crystal structure of AlCdIN2, from Alexandria via LeMat-Bulk.

It has space group P4/mmm (No. 123), with a = 4.5027 Å, b = 4.5027 Å, c = 6.4308 Å, α = 90.00°, β = 90.00° and γ = 90.00°. The asymmetric unit holds Al at (0.0000, 0.0000, 0.0000), Cd at (0.5000, 0.5000, 0.5000), I at (0.5000, 0.5000, 0.0000) and N at (0.0000, 0.5000, 0.5000).

Relative energies, in meV/atom, with the most stable structure set to zero: run 1 0; run 2 805.

Run 1
The following is a GGA-PBE calculation of an optimized crystal structure of AlCdI2O, from Alexandria via LeMat-Bulk.

It has space group P4/mmm (No. 123), with a = 6.0476 Å, b = 6.0476 Å, c = 4.1815 Å, α = 90.00°, β = 90.00° and γ = 90.00°. The asymmetric unit holds Al at (0.0000, 0.0000, 0.0000), Cd at (0.5000, 0.5000, 0.5000), I at (0.0000, 0.5000, 0.5000) and O at (0.5000, 0.5000, 0.0000).

Run 2
The following is a GGA-PBE calculation of an optimized crystal structure of AlCdI2O, from Alexandria via LeMat-Bulk.

It has space group P4/mmm (No. 123), with a = 5.8324 Å, b = 5.8324 Å, c = 3.5526 Å, α = 90.00°, β = 90.00° and γ = 90.00°. The asymmetric unit holds Al at (0.0000, 0.0000, 0.0000), Cd at (0.5000, 0.5000, 0.5000), I at (0.0000, 0.5000, 0.0000) and O at (0.0000, 0.0000, 0.5000).

Relative energies, in meV/atom, with the most stable structure set to zero: run 1 802; run 2 0.

Run 1
The following is a GGA-PBE calculation of an optimized crystal structure of AlCdSb2I, from Alexandria via LeMat-Bulk.

It has space group P4/mmm (No. 123), with a = 5.3997 Å, b = 5.3997 Å, c = 5.5466 Å, α = 90.00°, β = 90.00° and γ = 90.00°. The asymmetric unit holds Al at (0.0000, 0.0000, 0.0000), Cd at (0.5000, 0.5000, 0.5000), Sb at (0.0000, 0.5000, 0.0000) and I at (0.0000, 0.0000, 0.5000).

Run 2
The following is a GGA-PBE calculation of an optimized crystal structure of AlCdSb2I, from Alexandria via LeMat-Bulk.

It has space group P4/mmm (No. 123), with a = 5.5124 Å, b = 5.5124 Å, c = 6.1979 Å, α = 90.00°, β = 90.00° and γ = 90.00°. The asymmetric unit holds Al at (0.0000, 0.0000, 0.0000), Cd at (0.5000, 0.5000, 0.5000), Sb at (0.0000, 0.5000, 0.5000) and I at (0.5000, 0.5000, 0.0000).

Relative energies, in meV/atom, with the most stable structure set to zero: run 1 0; run 2 274.

Run 1
The following is a GGA-PBE calculation of an optimized crystal structure of AlCdInS4, from Alexandria via LeMat-Bulk.

It has space group R3m (No. 160, hexagonal axes), with a = 3.8898 Å, b = 3.8898 Å, c = 39.3219 Å, α = 90.00°, β = 90.00° and γ = 120.00°. The asymmetric unit holds Al at (0.0000, 0.0000, 0.0000), Cd at (0.0000, 0.0000, 0.7589), In at (0.0000, 0.0000, 0.5232), S at (0.0000, 0.0000, 0.0554), S at (0.0000, 0.0000, 0.4622), S at (0.0000, 0.0000, 0.6443) and S at (0.0000, 0.0000, 0.8862).

Run 2
The following is a GGA-PBE calculation of an optimized crystal structure of AlCdInS4, from Alexandria via LeMat-Bulk.

It has space group Imma (No. 74), with a = 7.4671 Å, b = 7.6082 Å, c = 10.7479 Å, α = 90.00°, β = 90.00° and γ = 90.00°. The asymmetric unit holds Al at (0.2500, 0.2500, 0.2500), Cd at (0.0000, 0.2500, 0.6273), In at (0.0000, 0.0000, 0.0000), S at (0.0000, 0.0345, 0.2460) and S at (0.2372, 0.2500, 0.0228).

Relative energies, in meV/atom, with the most stable structure set to zero: run 1 70; run 2 0.

Run 1
The following is a GGA-PBE calculation of an optimized crystal structure of Al2CdIr2, from Alexandria via LeMat-Bulk.

It has space group P4/mbm (No. 127), with a = 7.3706 Å, b = 7.3706 Å, c = 2.8705 Å, α = 90.00°, β = 90.00° and γ = 90.00°. The asymmetric unit holds Al at (0.1345, 0.3655, 0.0000), Cd at (0.0000, 0.0000, 0.0000) and Ir at (0.1592, 0.6592, 0.5000).

Run 2
The following is a GGA-PBE calculation of an optimized crystal structure of Al2CdIr2, from Alexandria via LeMat-Bulk.

It has space group P4/mbm (No. 127), with a = 7.3577 Å, b = 7.3577 Å, c = 2.9227 Å, α = 90.00°, β = 90.00° and γ = 90.00°. The asymmetric unit holds Al at (0.1446, 0.3554, 0.0000), Cd at (0.0000, 0.0000, 0.5000) and Ir at (0.1495, 0.6495, 0.5000).

Run 3
The following is a GGA-PBE calculation of an optimized crystal structure of Al2CdIr2, from Alexandria via LeMat-Bulk.

It has space group I4/mmm (No. 139), with a = 3.8759 Å, b = 3.8759 Å, c = 11.5089 Å, α = 90.00°, β = 90.00° and γ = 90.00°. The asymmetric unit holds Al at (0.0000, 0.5000, 0.2500), Cd at (0.0000, 0.0000, 0.0000) and Ir at (0.0000, 0.0000, 0.3866).

Relative energies, in meV/atom, with the most stable structure set to zero: run 1 22; run 2 0; run 3 178.

Run 1
The following is a GGA-PBE calculation of an optimized crystal structure of Al2Cd2Ir, from Alexandria via LeMat-Bulk.

It has space group I4/mmm (No. 139), with a = 3.6518 Å, b = 3.6518 Å, c = 14.5553 Å, α = 90.00°, β = 90.00° and γ = 90.00°. The asymmetric unit holds Al at (0.0000, 0.0000, 0.0850), Cd at (0.0000, 0.5000, 0.2500) and Ir at (0.0000, 0.0000, 0.5000).

Run 2
The following is a GGA-PBE calculation of an optimized crystal structure of Al2Cd2Ir, from Alexandria via LeMat-Bulk.

It has space group P4/mbm (No. 127), with a = 6.5220 Å, b = 6.5220 Å, c = 4.3843 Å, α = 90.00°, β = 90.00° and γ = 90.00°. The asymmetric unit holds Al at (0.1471, 0.3529, 0.0000), Cd at (0.1653, 0.6653, 0.5000) and Ir at (0.0000, 0.0000, 0.0000).

Relative energies, in meV/atom, with the most stable structure set to zero: run 1 388; run 2 0.

Run 1
The following is a GGA-PBE calculation of an optimized crystal structure of AlCdIr3, from Alexandria via LeMat-Bulk.

It has space group Pm-3m (No. 221), with a = 4.4997 Å, b = 4.4997 Å, c = 4.4997 Å, α = 90.00°, β = 90.00° and γ = 90.00°. The asymmetric unit holds Al at (0.0000, 0.0000, 0.0000), Cd at (0.5000, 0.5000, 0.5000) and Ir at (0.0000, 0.0000, 0.5000).

Run 2
The following is a GGA-PBE calculation of an optimized crystal structure of AlCdIr3, from Alexandria via LeMat-Bulk.

It has space group Pm-3m (No. 221), with a = 4.8096 Å, b = 4.8096 Å, c = 4.8096 Å, α = 90.00°, β = 90.00° and γ = 90.00°. The asymmetric unit holds Al at (0.0000, 0.0000, 0.0000), Cd at (0.5000, 0.5000, 0.5000) and Ir at (0.0000, 0.5000, 0.5000).

Relative energies, in meV/atom, with the most stable structure set to zero: run 1 0; run 2 1328.